[1]
Material: Cu2TcPt
Method: DFT, PBE-GGA
State: optimized geometry

abc: 2.659 2.659 7.731
angles: 90.00 90.00 90.00
Element x y z (fractional)
Pt1 0.500 0.500 0.250
Cu1 0.000 0.000 0.000
Cu2 0.000 0.000 0.500
Tc1 0.500 0.500 0.750

Properties
* mass density: 12.77 g/cm³
* space-group type: P4/mmm (123)
* offset from the most stable computed form: 10.9 kJ/mol of atoms
* ΔE_f: 0.39 eV/f.u.

[2]
Material: BaLiSb2I
Method: DFT, PBE-GGA
State: optimized geometry

abc: 4.976 7.010 4.976
angles: 90.00 90.00 90.00
Element x y z (fractional)
I1 0.500 0.500 0.500
Li1 0.000 0.000 0.000
Ba1 0.000 0.500 0.000
Sb1 0.500 0.000 0.000
Sb2 0.000 0.000 0.500

Properties
* mass density: 4.92 g/cm³
* space-group type: P4/mmm (123)
* offset from the most stable computed form: 3.6 kJ/mol of atoms

[3]
Material: AgH6PtPb
Method: DFT, PBE-GGA
State: optimized geometry

abc: 5.975 4.898 4.668
angles: 81.27 75.37 52.30
Element x y z (fractional)
H1 0.589 0.312 0.623
H2 0.286 0.639 0.248
H3 0.100 0.309 0.376
H4 0.397 0.033 0.768
H5 0.073 0.640 0.751
H6 0.572 0.030 0.232
Pb1 0.954 0.090 0.001
Pt1 0.331 0.338 0.499
Ag1 0.696 0.609 0.502

Properties
* mass density: 8.20 g/cm³
* calculated total energy: -3.539 eV per atom
* space-group type: P1 (1)

[4]
Material: RbIrPt2Se
Method: DFT, PBE-GGA
State: optimized geometry

abc: 4.825 6.245 4.825
angles: 90.00 90.00 90.00
Element x y z (fractional)
Pt1 0.500 0.000 0.000
Pt2 0.000 0.000 0.500
Se1 0.500 0.500 0.500
Rb1 0.000 0.500 0.000
Ir1 0.000 0.000 0.000

Properties
* mass density: 8.53 g/cm³
* calculated total energy: -4.039 eV per atom
* space-group type: P4/mmm (123)

[5]
Material: SrSi2Au
Method: DFT, PBE-GGA
State: optimized geometry

abc: 5.920 5.920 5.920
angles: 138.74 138.74 59.77
Element x y z (fractional)
Au1 0.750 0.250 0.500
Si1 0.500 0.500 0.000
Si2 0.000 0.000 0.000
Sr1 0.250 0.750 0.500

Properties
* mass density: 6.34 g/cm³
* calculated total energy: -3.764 eV per atom
* space-group type: I4/mmm (139)

[6]
Material: FeCuBr
Method: DFT, PBE-GGA
State: optimized geometry

abc: 6.372 6.372 6.372
angles: 152.13 152.13 39.83
Element x y z (fractional)
Br1 0.038 0.038 0.000
Fe1 0.670 0.670 0.000
Cu1 0.292 0.292 0.000

Properties
* mass density: 5.86 g/cm³
* space-group type: I4mm (107)
* offset from the most stable computed form: 15.4 kJ/mol of atoms

Q: mass density of number 1 (Cu2TcPt)?
A: 12.77 g/cm³

Q: mass density of number 4 (RbIrPt2Se)?
A: 8.53 g/cm³